# 1
Entry from Alexandria via LeMat-Bulk: a geometry-optimized Na6Sb structure (PBE-GGA).

Calculated values
space-group type: Im-3m, No. 229
raw formation energy: 0.470 eV/atom

Cell lengths 7.1010, 7.1010, 7.1010 Å; angles 109.47, 109.47, 109.47 degrees
Atoms (fractional coordinates):
1 Na 0.2500 0.5000 0.7500
2 Na 0.2500 0.7500 0.5000
3 Na 0.5000 0.2500 0.7500
4 Na 0.5000 0.7500 0.2500
5 Na 0.7500 0.2500 0.5000
6 Na 0.7500 0.5000 0.2500
7 Sb 0.0000 0.0000 0.0000

***

# 2
Entry from Alexandria via LeMat-Bulk: a geometry-optimized Na2Sb structure (PBE-GGA).

Calculated values
space-group type: I4/mmm, No. 139
distance to the lowest polymorph of the same formula: 4 meV/atom
raw formation energy: -0.311 eV/atom

Cell lengths 5.6975, 5.6975, 5.6975 Å; angles 137.51, 137.51, 61.65 degrees
Atoms (fractional coordinates):
1 Na 0.1591 0.1591 0.0000
2 Na 0.8409 0.8409 0.0000
3 Sb 0.5000 0.5000 0.0000

***

# 3
Entry from Alexandria via LeMat-Bulk: a geometry-optimized Na8Sb3 structure (PBE-GGA).

Calculated values
space-group type: R-3m, No. 166
raw formation energy: -0.282 eV/atom

Cell lengths 7.5437, 7.5437, 7.5437 Å; angles 90.00, 90.00, 90.00 degrees
Atoms (fractional coordinates):
1 Na 0.2252 0.2252 0.2252
2 Na 0.2259 0.2259 0.7738
3 Na 0.2259 0.7738 0.2259
4 Na 0.2262 0.7741 0.7741
5 Na 0.7738 0.2259 0.2259
6 Na 0.7741 0.2262 0.7741
7 Na 0.7741 0.7741 0.2262
8 Na 0.7748 0.7748 0.7748
9 Sb 0.0000 0.0000 0.5000
10 Sb 0.0000 0.5000 0.0000
11 Sb 0.5000 0.0000 0.0000

***

# 4
Entry from Alexandria via LeMat-Bulk: a geometry-optimized NaSb structure (PBE-GGA).

Calculated values
space-group type: I-43m, No. 217
raw formation energy: 0.191 eV/atom

Cell lengths 8.3688, 8.3688, 8.3688 Å; angles 109.47, 109.47, 109.47 degrees
Atoms (fractional coordinates):
1 Na 0.0000 0.0000 0.5987
2 Na 0.0000 0.5987 0.0000
3 Na 0.4013 0.4013 0.4013
4 Na 0.5987 0.0000 0.0000
5 Sb 0.0000 0.0000 0.2264
6 Sb 0.0000 0.2264 0.0000
7 Sb 0.2264 0.0000 0.0000
8 Sb 0.7736 0.7736 0.7736

***

# 5
Entry from Alexandria via LeMat-Bulk: a geometry-optimized NaSb structure (PBE-GGA).

Calculated values
space-group type: Fddd, No. 70
raw formation energy: -0.097 eV/atom

Cell lengths 8.0865, 8.0768, 6.7035 Å; angles 65.57, 65.42, 49.01 degrees
Atoms (fractional coordinates):
1 Na 0.0679 0.6821 0.0679
2 Na 0.3179 0.9321 0.3179
3 Na 0.6821 0.0679 0.6821
4 Na 0.9321 0.3179 0.9321
5 Sb 0.2674 0.2674 0.4826
6 Sb 0.4826 0.4826 0.2674
7 Sb 0.5174 0.5174 0.7326
8 Sb 0.7326 0.7326 0.5174

***

# 6
Entry from Alexandria via LeMat-Bulk: a geometry-optimized NaSb structure (PBE-GGA).

Calculated values
space-group type: F-43m, No. 216
raw formation energy: 0.573 eV/atom

Cell lengths 5.1448, 5.1448, 5.1448 Å; angles 60.00, 60.00, 60.00 degrees
Atoms (fractional coordinates):
1 Na 0.0000 0.0000 0.0000
2 Sb 0.7500 0.7500 0.7500

***

# 7
Entry from Alexandria via LeMat-Bulk: a geometry-optimized Na2Sb structure (PBE-GGA).

Calculated values
space-group type: Cmcm, No. 63
distance to the lowest polymorph of the same formula: 0 meV/atom
raw formation energy: -0.315 eV/atom

Cell lengths 5.8542, 5.8542, 6.5151 Å; angles 90.00, 90.00, 127.34 degrees
Atoms (fractional coordinates):
1 Na 0.0000 0.0000 0.0000
2 Na 0.0000 0.0000 0.5000
3 Na 0.2829 0.7171 0.7500
4 Na 0.7171 0.2829 0.2500
5 Sb 0.4184 0.5816 0.2500
6 Sb 0.5816 0.4184 0.7500

***

# 8
Entry from Alexandria via LeMat-Bulk: a geometry-optimized NaSb structure (PBE-GGA).

Calculated values
space-group type: P2_12_12_1, No. 19
raw formation energy: -0.321 eV/atom

Cell lengths 6.4727, 6.8669, 11.3459 Å; angles 90.00, 90.00, 90.00 degrees
Atoms (fractional coordinates):
1 Na 0.1182 0.0885 0.0680
2 Na 0.1477 0.3200 0.7028
3 Na 0.3523 0.6800 0.2028
4 Na 0.3818 0.9115 0.5681
5 Na 0.6182 0.4115 0.9320
6 Na 0.6477 0.1800 0.2972
7 Na 0.8523 0.8200 0.7972
8 Na 0.8818 0.5885 0.4320
9 Sb 0.1272 0.5184 0.9556
10 Sb 0.1446 0.1589 0.3592
11 Sb 0.3554 0.8411 0.8592
12 Sb 0.3728 0.4816 0.4556
13 Sb 0.6272 0.9816 0.0444
14 Sb 0.6446 0.3411 0.6408
15 Sb 0.8554 0.6589 0.1408
16 Sb 0.8728 0.0184 0.5444

***

# 9
Entry from Alexandria via LeMat-Bulk: a geometry-optimized NaSb structure (PBE-GGA).

Calculated values
space-group type: Fm-3m, No. 225
raw formation energy: 0.234 eV/atom

Cell lengths 4.4285, 4.4285, 4.4285 Å; angles 60.00, 60.00, 60.00 degrees
Atoms (fractional coordinates):
1 Na 0.0000 0.0000 0.0000
2 Sb 0.5000 0.5000 0.5000

***

# 10
Entry from Alexandria via LeMat-Bulk: a geometry-optimized NaSb structure (PBE-GGA).

Calculated values
space-group type: Pm-3m, No. 221
raw formation energy: -0.191 eV/atom

Cell lengths 3.7606, 3.7606, 3.7606 Å; angles 90.00, 90.00, 90.00 degrees
Atoms (fractional coordinates):
1 Na 0.0000 0.0000 0.0000
2 Sb 0.5000 0.5000 0.5000

***

# 11
Entry from Alexandria via LeMat-Bulk: a geometry-optimized NaSb structure (PBE-GGA).

Calculated values
space-group type: P2_1/c, No. 14
raw formation energy: -0.328 eV/atom

Cell lengths 6.8275, 6.4091, 12.5806 Å; angles 90.00, 117.44, 90.00 degrees
Atoms (fractional coordinates):
1 Na 0.2299 0.0994 0.3264
2 Na 0.2299 0.4006 0.8264
3 Na 0.2331 0.6629 0.5410
4 Na 0.2331 0.8371 0.0410
5 Na 0.7669 0.1629 0.9590
6 Na 0.7669 0.3371 0.4590
7 Na 0.7701 0.5994 0.1736
8 Na 0.7701 0.9006 0.6736
9 Sb 0.2897 0.1611 0.6039
10 Sb 0.2897 0.3389 0.1039
11 Sb 0.3071 0.5964 0.2972
12 Sb 0.3071 0.9036 0.7972
13 Sb 0.6929 0.0964 0.2028
14 Sb 0.6929 0.4036 0.7028
15 Sb 0.7103 0.6611 0.8961
16 Sb 0.7103 0.8389 0.3961

***

# 12
Entry from Alexandria via LeMat-Bulk: a geometry-optimized Na3Sb2 structure (PBE-GGA).

Calculated values
space-group type: Immm, No. 71
distance to the lowest polymorph of the same formula: 0 meV/atom
raw formation energy: -0.345 eV/atom

Cell lengths 6.0991, 6.0991, 6.0991 Å; angles 130.62, 114.38, 86.34 degrees
Atoms (fractional coordinates):
1 Na 0.0000 0.0000 0.0000
2 Na 0.3044 0.8044 0.5000
3 Na 0.6956 0.1956 0.5000
4 Sb 0.2853 0.5000 0.7853
5 Sb 0.7147 0.5000 0.2147

***

> Which formula does entry 7 have?

Na2Sb

***

> Number 1 is which compound?

Na6Sb

***

> The lowest raw formation energy belongs to which entry?

Na3Sb2

***

> Which formula does entry 9 have?

NaSb